(P)
Density functional theory data (PBE with a Hubbard U) for a geometry-optimized LiFe6O4F8 structure.

Calculated values
Size of the total moment   27.01 μB per formula unit

Lattice parameters (Å, degrees): 5.765 5.840 7.906 69.13 69.40 69.44
Atoms (fractional coordinates):
1 Li 0.000 0.000 0.000
2 Fe 0.323 0.915 0.625
3 Fe 0.391 0.854 0.153
4 Fe 0.640 0.229 0.316
5 Fe 0.672 0.202 0.780
6 Fe 0.986 0.573 0.466
7 Fe 0.989 0.556 0.955
8 O 0.285 0.267 0.464
9 O 0.655 0.543 0.139
10 O 0.690 0.868 0.473
11 O 0.988 0.920 0.792
12 F 0.068 0.162 0.138
13 F 0.090 0.676 0.182
14 F 0.228 0.777 0.450
15 F 0.376 0.519 0.795
16 F 0.406 0.988 0.841
17 F 0.623 0.100 0.099
18 F 0.769 0.342 0.484
19 F 0.903 0.452 0.747

(Q)
Density functional theory data (PBE with a Hubbard U) for a geometry-optimized LiFe6O4F8 structure.

Calculated values
Size of the total moment   27.03 μB per formula unit

Lattice parameters (Å, degrees): 5.792 5.792 7.507 106.42 106.42 70.18
Atoms (fractional coordinates):
1 Li 0.000 0.000 0.000
2 Fe 0.083 0.517 0.820
3 Fe 0.099 0.603 0.342
4 Fe 0.397 0.901 0.658
5 Fe 0.483 0.917 0.180
6 Fe 0.615 0.385 0.000
7 Fe 0.750 0.250 0.500
8 O 0.054 0.946 0.500
9 O 0.372 0.224 0.825
10 O 0.455 0.545 0.500
11 O 0.776 0.628 0.175
12 F 0.182 0.220 0.178
13 F 0.206 0.698 0.136
14 F 0.302 0.794 0.864
15 F 0.542 0.020 0.482
16 F 0.703 0.165 0.209
17 F 0.780 0.818 0.822
18 F 0.835 0.297 0.791
19 F 0.980 0.458 0.518

Which one is most stable, and which one is least stable? (P) is the most stable of them, while (Q) is the least stable.